Material: CeCd4Hg
Method: DFT, PBE
State: relaxed

Cell and atoms, written as POSCAR:
```
CeCd4Hg
1.0
-2.7993 -5.2620 -0.1617
0.5057 -3.7877 4.5770
-4.6696 -1.0036 3.5691
Cd Ce Hg
4 1 1
direct
0.6249 0.1254 0.6249
0.6249 0.6249 0.6249
0.1254 0.6249 0.6249
0.6249 0.6249 0.1254
0.2500 0.2500 0.2500
0.0000 0.0000 0.0000
```

D(E_F) = 10.292 states/eV/f.u.
Polymorph energy (0 for the lowest one) = 102 meV/atom
ΔH_f (0 K) = -0.06 eV per atom